(1)
{"formula": "Pr4ZnAu2", "functional": "GGA-PBE", "state": "relaxed", "cell": [[-0.9321, -3.5802, 3.7159], [0.7648, -5.0861, -1.0203], [7.9790, -2.2089, 3.5611]], "species": ["Pr", "Au", "Zn", "Pr", "Au", "Pr", "Pr"], "fractional_positions": [[0.3765, 0.3765, 0.8699], [0.2500, 0.2500, 0.2488], [0.0000, 0.0000, 0.0000], [0.1250, 0.1250, 0.6228], [0.7500, 0.7500, 0.7512], [0.6235, 0.6235, 0.1301], [0.8750, 0.8750, 0.3772]], "vol_a3_per_atom": 28.91, "magmom_total_mub_per_cell": 1.06}

(2)
{"formula": "PrZn2Au4", "functional": "GGA-PBE", "state": "relaxed", "cell": [[4.6586, 0.0000, 2.6894], [2.3293, 5.0185, 1.3447], [-0.1798, 0.0000, 5.6909]], "species": ["Au", "Pr", "Zn", "Zn", "Au", "Au", "Au"], "fractional_positions": [[0.6980, 0.6039, 0.0000], [0.0000, 0.0000, 0.0000], [0.2500, 0.5000, 0.5000], [0.7500, 0.5000, 0.5000], [0.3020, 0.3961, 0.0000], [0.3020, 0.0000, 0.3961], [0.6980, 0.0000, 0.6039]], "vol_a3_per_atom": 19.35, "magmom_total_mub_per_cell": 0.00}

(3)
{"formula": "Pr8ZnAu2", "functional": "GGA-PBE", "state": "relaxed", "cell": [[-2.4220, -4.7119, -0.1015], [4.0420, -2.1945, 5.4221], [-6.6250, 6.3073, 3.6029]], "species": ["Pr", "Zn", "Pr", "Pr", "Pr", "Au", "Pr", "Pr", "Au", "Pr", "Pr"], "fractional_positions": [[0.1988, 0.3363, 0.3975], [0.5000, 0.0000, 0.0000], [0.4091, 0.5311, 0.8183], [0.9773, 0.2221, 0.9546], [0.6692, 0.9945, 0.3384], [0.8251, 0.2633, 0.6502], [0.5909, 0.4689, 0.1817], [0.8012, 0.6637, 0.6025], [0.1749, 0.7367, 0.3498], [0.0227, 0.7779, 0.0454], [0.3308, 0.0055, 0.6616]], "vol_a3_per_atom": 30.80, "magmom_total_mub_per_cell": 0.00}

(4)
{"formula": "Pr3Zn3Au2", "functional": "GGA-PBE", "state": "relaxed", "cell": [[-1.3548, -3.8754, -2.1508], [1.2036, -0.7948, 5.6673], [-14.5432, 3.1267, 3.5270]], "species": ["Au", "Pr", "Zn", "Pr", "Au", "Zn", "Zn", "Au", "Zn", "Pr", "Pr", "Pr", "Au", "Pr", "Zn", "Zn"], "fractional_positions": [[0.1948, 0.3896, 0.3955], [0.1005, 0.2009, 0.8974], [0.3932, 0.7863, 0.5408], [0.8995, 0.7991, 0.1026], [0.8052, 0.6104, 0.8955], [0.6068, 0.2137, 0.0408], [0.6068, 0.2137, 0.4592], [0.8052, 0.6104, 0.6045], [0.3419, 0.6839, 0.2500], [0.8995, 0.7991, 0.3974], [0.1005, 0.2009, 0.6026], [0.3711, 0.7422, 0.7500], [0.1948, 0.3896, 0.1045], [0.6289, 0.2578, 0.2500], [0.3932, 0.7863, 0.9592], [0.6581, 0.3161, 0.7500]], "vol_a3_per_atom": 23.78, "magmom_total_mub_per_cell": 0.00}

(5)
{"formula": "Pr12Zn6Au", "functional": "GGA-PBE", "state": "relaxed", "cell": [[8.8689, -1.0836, -1.2981], [-2.4156, 8.6021, -1.2981], [-2.4156, -2.8143, 8.2317]], "species": ["Pr", "Pr", "Zn", "Pr", "Au", "Zn", "Zn", "Pr", "Pr", "Zn", "Zn", "Pr", "Zn", "Pr", "Pr", "Pr", "Pr", "Pr", "Pr"], "fractional_positions": [[0.8181, 0.6410, 0.5215], [0.6410, 0.5215, 0.8181], [0.9131, 0.3933, 0.6430], [0.1819, 0.3590, 0.4785], [0.0000, 0.0000, 0.0000], [0.3933, 0.6430, 0.9131], [0.3570, 0.0869, 0.6067], [0.7214, 0.0646, 0.1589], [0.0646, 0.1589, 0.7214], [0.6067, 0.3570, 0.0869], [0.6430, 0.9131, 0.3933], [0.2786, 0.9354, 0.8411], [0.0869, 0.6067, 0.3570], [0.9354, 0.8411, 0.2786], [0.1589, 0.7214, 0.0646], [0.4785, 0.1819, 0.3590], [0.3590, 0.4785, 0.1819], [0.8411, 0.2786, 0.9354], [0.5215, 0.8181, 0.6410]], "vol_a3_per_atom": 28.15, "magmom_total_mub_per_cell": 0.00}

(6)
{"formula": "Pr3Zn4Au2", "functional": "GGA-PBE", "state": "relaxed", "cell": [[-1.8221, -2.2630, 3.5833], [2.7271, -3.5855, -3.8471], [5.7788, 3.9249, 5.4172]], "species": ["Zn", "Pr", "Zn", "Zn", "Zn", "Au", "Pr", "Pr", "Au"], "fractional_positions": [[0.7272, 0.4543, 0.0564], [0.3304, 0.6608, 0.3351], [0.0457, 0.0914, 0.3841], [0.2728, 0.5457, 0.9436], [0.9543, 0.9086, 0.6159], [0.3913, 0.7826, 0.7254], [0.0000, 0.0000, 0.0000], [0.6696, 0.3392, 0.6649], [0.6087, 0.2174, 0.2746]], "vol_a3_per_atom": 22.69, "magmom_total_mub_per_cell": 0.00}

(7)
{"formula": "PrZnAu2", "functional": "GGA-PBE", "state": "relaxed", "cell": [[-2.8112, -0.9591, 1.7783], [1.6656, -2.8250, 1.1093], [2.3309, 3.5793, 5.6153]], "species": ["Au", "Zn", "Pr", "Au"], "fractional_positions": [[0.0000, 0.0000, 0.2079], [0.5000, 0.5000, 0.0000], [0.5000, 0.5000, 0.5000], [0.0000, 0.0000, 0.7921]], "vol_a3_per_atom": 21.14, "magmom_total_mub_per_cell": 0.00}

(8)
{"formula": "Pr2Zn12Au5", "functional": "GGA-PBE", "state": "relaxed", "cell": [[6.9898, 0.1314, 0.7307], [0.6718, 6.9587, 0.7307], [0.1420, 0.1314, 7.0265]], "species": ["Au", "Au", "Au", "Zn", "Zn", "Au", "Zn", "Zn", "Zn", "Zn", "Zn", "Pr", "Au", "Pr", "Zn", "Zn", "Zn", "Zn", "Zn"], "fractional_positions": [[0.0000, 0.0000, 0.5000], [0.1036, 0.1036, 0.1036], [0.0000, 0.5000, 0.0000], [0.0000, 0.2955, 0.7045], [0.8330, 0.3520, 0.3520], [0.5000, 0.0000, 0.0000], [0.3520, 0.3520, 0.8330], [0.3520, 0.8330, 0.3520], [0.7045, 0.2955, 0.0000], [0.6480, 0.6480, 0.1670], [0.1670, 0.6480, 0.6480], [0.6632, 0.6632, 0.6632], [0.8964, 0.8964, 0.8964], [0.3368, 0.3368, 0.3368], [0.2955, 0.7045, 0.0000], [0.7045, 0.0000, 0.2955], [0.2955, 0.0000, 0.7045], [0.0000, 0.7045, 0.2955], [0.6480, 0.1670, 0.6480]], "vol_a3_per_atom": 17.89, "magmom_total_mub_per_cell": 0.00}

(9)
{"formula": "PrZn12Au6", "functional": "GGA-PBE", "state": "relaxed", "cell": [[-5.0652, -4.9691, 1.7479], [5.9230, -3.9257, -1.7060], [1.6863, 3.2227, 6.3383]], "species": ["Au", "Au", "Zn", "Au", "Pr", "Au", "Zn", "Zn", "Zn", "Au", "Zn", "Zn", "Zn", "Zn", "Zn", "Zn", "Zn", "Zn", "Au"], "fractional_positions": [[0.2870, 0.7173, 0.7173], [0.2827, 0.7130, 0.2827], [0.6114, 0.8604, 0.6114], [0.7173, 0.7173, 0.2870], [0.0000, 0.0000, 0.0000], [0.7130, 0.2827, 0.2827], [0.3886, 0.1396, 0.3886], [0.8916, 0.1084, 0.5000], [0.1084, 0.5000, 0.8916], [0.2827, 0.2827, 0.7130], [0.1084, 0.8916, 0.5000], [0.8916, 0.5000, 0.1084], [0.8604, 0.6114, 0.6114], [0.6114, 0.6114, 0.8604], [0.5000, 0.8916, 0.1084], [0.1396, 0.3886, 0.3886], [0.3886, 0.3886, 0.1396], [0.5000, 0.1084, 0.8916], [0.7173, 0.2870, 0.7173]], "vol_a3_per_atom": 18.10, "magmom_total_mub_per_cell": 0.00}

(10)
{"formula": "PrZn4Au", "functional": "GGA-PBE", "state": "relaxed", "cell": [[5.4077, 0.0000, 0.0000], [2.7038, 4.6832, 0.0000], [2.7038, 1.5611, 4.4154]], "species": ["Zn", "Pr", "Zn", "Au", "Zn", "Zn"], "fractional_positions": [[0.1228, 0.6257, 0.6257], [0.2500, 0.2500, 0.2500], [0.6257, 0.1228, 0.6257], [0.0000, 0.0000, 0.0000], [0.6257, 0.6257, 0.6257], [0.6257, 0.6257, 0.1228]], "vol_a3_per_atom": 18.64, "magmom_total_mub_per_cell": 0.00}

(11)
{"formula": "PrZn4Au8", "functional": "GGA-PBE", "state": "relaxed", "cell": [[7.4947, 0.2476, 0.1767], [3.8296, 6.4471, 0.1767], [3.8296, 2.2640, 6.0391]], "species": ["Zn", "Zn", "Au", "Au", "Au", "Zn", "Au", "Zn", "Pr", "Au", "Au", "Au", "Au"], "fractional_positions": [[0.5000, 0.5000, 0.5000], [0.0000, 0.5000, 0.5000], [0.7443, 0.7443, 0.7443], [0.2557, 0.2557, 0.2557], [0.2639, 0.2639, 0.8606], [0.5000, 0.0000, 0.5000], [0.1394, 0.7361, 0.7361], [0.5000, 0.5000, 0.0000], [0.0000, 0.0000, 0.0000], [0.7361, 0.7361, 0.1394], [0.7361, 0.1394, 0.7361], [0.8606, 0.2639, 0.2639], [0.2639, 0.8606, 0.2639]], "vol_a3_per_atom": 21.57, "magmom_total_mub_per_cell": 0.00}

(12)
{"formula": "Pr2ZnAu3", "functional": "GGA-PBE", "state": "relaxed", "cell": [[3.6555, 0.0000, 0.0000], [0.0000, 4.6800, 0.0000], [0.0000, 0.0000, 8.2226]], "species": ["Au", "Zn", "Pr", "Pr", "Au", "Au"], "fractional_positions": [[0.5000, 0.0000, 0.1829], [0.5000, 0.5000, 0.3280], [0.0000, 0.5000, 0.9921], [0.0000, 0.0000, 0.5077], [0.5000, 0.5000, 0.6484], [0.5000, 0.0000, 0.8410]], "vol_a3_per_atom": 23.44, "magmom_total_mub_per_cell": 0.00}

(13)
{"formula": "Pr3Zn3Au", "functional": "GGA-PBE", "state": "relaxed", "cell": [[-3.0183, 0.7204, 3.3563], [-2.8097, -0.2393, -2.4754], [2.3356, -10.2145, 1.1802]], "species": ["Zn", "Zn", "Pr", "Pr", "Zn", "Pr", "Au"], "fractional_positions": [[0.5680, 0.5680, 0.1360], [0.1366, 0.6366, 0.2732], [0.9986, 0.9986, 0.9972], [0.3097, 0.8097, 0.6195], [0.8596, 0.3596, 0.7193], [0.6914, 0.1914, 0.3829], [0.4359, 0.4359, 0.8719]], "vol_a3_per_atom": 24.80, "magmom_total_mub_per_cell": 0.00}

(14)
{"formula": "Pr3Zn9Au2", "functional": "GGA-PBE", "state": "relaxed", "cell": [[-1.8336, -1.4075, -3.8295], [-7.9075, -2.1454, 1.9624], [-5.8410, 5.7562, -1.9314]], "species": ["Pr", "Zn", "Zn", "Zn", "Zn", "Au", "Pr", "Zn", "Zn", "Zn", "Pr", "Au", "Zn", "Zn"], "fractional_positions": [[0.6976, 0.3024, 0.3024], [0.1356, 0.5834, 0.1454], [0.8644, 0.8546, 0.4166], [0.1356, 0.1454, 0.5834], [0.6672, 0.9720, 0.6936], [0.5000, 0.7028, 0.2972], [0.0000, 0.0000, 0.0000], [0.3328, 0.3064, 0.0280], [0.3328, 0.0280, 0.3064], [0.8644, 0.4166, 0.8546], [0.3024, 0.6976, 0.6976], [0.5000, 0.2972, 0.7028], [0.6672, 0.6936, 0.9720], [0.0000, 0.5000, 0.5000]], "vol_a3_per_atom": 19.50, "magmom_total_mub_per_cell": 0.00}

(15)
{"formula": "PrZn2Au2", "functional": "GGA-PBE", "state": "relaxed", "cell": [[4.2927, 0.0000, 0.0000], [0.0000, 4.2927, 0.0000], [0.0000, 0.0000, 11.2945]], "species": ["Pr", "Au", "Zn", "Au", "Zn", "Au", "Au", "Pr", "Zn", "Zn"], "fractional_positions": [[0.5000, 0.0000, 0.2487], [0.0000, 0.5000, 0.1384], [0.0000, 0.5000, 0.3648], [0.5000, 0.0000, 0.8616], [0.0000, 0.0000, 0.0000], [0.5000, 0.5000, 0.5000], [0.0000, 0.0000, 0.5000], [0.0000, 0.5000, 0.7513], [0.5000, 0.0000, 0.6352], [0.5000, 0.5000, 0.0000]], "vol_a3_per_atom": 20.81, "magmom_total_mub_per_cell": 0.00}

(16)
{"formula": "PrZn3Au4", "functional": "GGA-PBE", "state": "relaxed", "cell": [[-1.2656, -3.8081, -2.3621], [1.9188, -2.7063, 3.2676], [-6.5740, -0.1385, 3.7456]], "species": ["Zn", "Au", "Pr", "Zn", "Au", "Zn", "Au", "Au"], "fractional_positions": [[0.0000, 0.0000, 0.0000], [0.5000, 0.0000, 0.8086], [0.0000, 0.0000, 0.5000], [0.5000, 0.5000, 0.3382], [0.0000, 0.5000, 0.1914], [0.5000, 0.5000, 0.6618], [0.5000, 0.0000, 0.1914], [0.0000, 0.5000, 0.8086]], "vol_a3_per_atom": 20.51, "magmom_total_mub_per_cell": 0.00}

(17)
{"formula": "Pr2Zn3Au9", "functional": "GGA-PBE", "state": "relaxed", "cell": [[-3.4660, 6.0266, 3.9895], [-0.2854, -7.4613, 2.9151], [10.9347, 0.0093, 1.3225]], "species": ["Au", "Au", "Au", "Au", "Au", "Au", "Au", "Au", "Pr", "Pr", "Au", "Au", "Zn", "Au", "Zn", "Pr", "Au", "Au", "Zn", "Pr", "Zn", "Au", "Au", "Au", "Zn", "Zn", "Au", "Au"], "fractional_positions": [[0.5535, 0.0832, 0.2541], [0.7776, 0.4689, 0.4296], [0.4465, 0.9168, 0.7459], [0.2224, 0.5311, 0.5704], [0.8826, 0.0229, 0.0722], [0.4607, 0.6520, 0.9296], [0.1110, 0.8610, 0.2500], [0.5393, 0.3480, 0.0704], [0.9997, 0.5845, 0.7495], [0.3350, 0.2502, 0.7505], [0.5494, 0.1896, 0.5722], [0.2123, 0.6977, 0.0691], [0.8229, 0.6451, 0.0021], [0.4506, 0.8104, 0.4278], [0.8570, 0.1792, 0.5021], [0.6650, 0.7498, 0.2495], [0.3291, 0.2994, 0.2459], [0.1286, 0.1433, 0.4309], [0.1430, 0.8208, 0.4979], [0.0003, 0.4155, 0.2505], [0.5000, 0.0000, 0.0000], [0.6709, 0.7006, 0.7541], [0.7877, 0.3023, 0.9309], [0.1174, 0.9771, 0.9278], [0.5000, 0.5000, 0.5000], [0.1771, 0.3549, 0.9979], [0.8714, 0.8567, 0.5691], [0.8890, 0.1390, 0.7500]], "vol_a3_per_atom": 19.79, "magmom_total_mub_per_cell": 0.00}

(18)
{"formula": "Pr6ZnAu5", "functional": "GGA-PBE", "state": "relaxed", "cell": [[5.0709, 0.0228, -1.4806], [-1.0276, 6.5638, -3.4173], [-0.0747, 0.5135, 9.1754]], "species": ["Pr", "Pr", "Au", "Au", "Pr", "Au", "Zn", "Pr", "Pr", "Au", "Pr", "Au"], "fractional_positions": [[0.8322, 0.0831, 0.6643], [0.5000, 0.2545, 0.0000], [0.6552, 0.1552, 0.3103], [0.3448, 0.8448, 0.6897], [0.1678, 0.9169, 0.3357], [0.6687, 0.6687, 0.3373], [0.0000, 0.0000, 0.0000], [0.5000, 0.7455, 0.0000], [0.8322, 0.5813, 0.6643], [0.0000, 0.5000, 0.0000], [0.1678, 0.4187, 0.3357], [0.3313, 0.3313, 0.6627]], "vol_a3_per_atom": 26.21, "magmom_total_mub_per_cell": 0.00}

(19)
{"formula": "Pr2Zn7Au12", "functional": "GGA-PBE", "state": "relaxed", "cell": [[-2.1696, -1.1844, -3.5575], [8.4770, -4.6556, -3.6198], [-6.6925, -5.2711, 5.8364]], "species": ["Pr", "Zn", "Zn", "Zn", "Au", "Au", "Au", "Zn", "Au", "Au", "Au", "Au", "Pr", "Zn", "Au", "Zn", "Zn", "Au", "Au", "Au", "Au"], "fractional_positions": [[0.5000, 0.0000, 0.0000], [0.0000, 0.1166, 0.8114], [0.0000, 0.6948, 0.8834], [0.0000, 0.1886, 0.3052], [0.5000, 0.2347, 0.4695], [0.0000, 0.2676, 0.1041], [0.5000, 0.5305, 0.7652], [0.5000, 0.9363, 0.3377], [0.5000, 0.9071, 0.5859], [0.0000, 0.8959, 0.1635], [0.0000, 0.0385, 0.5063], [0.5000, 0.6789, 0.0929], [0.0000, 0.6667, 0.3333], [0.5000, 0.6623, 0.5986], [0.5000, 0.4141, 0.3211], [0.0000, 0.3333, 0.6667], [0.5000, 0.4014, 0.0637], [0.0000, 0.8365, 0.7324], [0.5000, 0.2348, 0.7653], [0.0000, 0.4678, 0.9615], [0.0000, 0.4937, 0.5322]], "vol_a3_per_atom": 19.05, "magmom_total_mub_per_cell": 0.00}

(20)
{"formula": "Pr2Zn2Au", "functional": "GGA-PBE", "state": "relaxed", "cell": [[4.6514, 0.0000, 0.0000], [2.3257, 5.2641, -0.3869], [2.3257, 0.1772, 9.9070]], "species": ["Au", "Zn", "Pr", "Au", "Zn", "Pr", "Pr", "Zn", "Zn", "Pr"], "fractional_positions": [[0.3908, 0.8792, 0.3392], [0.3755, 0.1382, 0.1108], [0.3134, 0.7109, 0.6624], [0.6092, 0.1208, 0.6608], [0.9252, 0.7122, 0.4375], [0.9142, 0.2824, 0.8892], [0.6866, 0.2891, 0.3376], [0.0748, 0.2878, 0.5625], [0.6245, 0.8618, 0.8892], [0.0858, 0.7176, 0.1108]], "vol_a3_per_atom": 24.29, "magmom_total_mub_per_cell": 0.00}

| no. | ΔE_f (meV/atom) | ρ (kg/m3) |
| --- | --- | --- |
| 1 | -441 | 8393 |
| 2 | -511 | 12987 |
| 3 | -315 | 7778 |
| 4 | -536 | 8842 |
| 5 | -118 | 7080 |
| 6 | -532 | 8768 |
| 7 | -478 | 11787 |
| 8 | -300 | 10025 |
| 9 | -229 | 10175 |
| 10 | -210 | 8903 |
| 11 | -49 | 11715 |
| 12 | -716 | 11074 |
| 13 | -418 | 7805 |
| 14 | -405 | 8547 |
| 15 | -519 | 10622 |
| 16 | -354 | 11385 |
| 17 | -487 | 13489 |
| 18 | -671 | 10007 |
| 19 | -364 | 12881 |
| 20 | -474 | 8335 |